{"formula": "CsSi2Au3", "functional": "PBE-GGA", "state": "optimized geometry", "e_form_raw_ev_per_atom": -0.222, "space_group": "Pmmn, No. 59", "dft_energy_ev_per_atom": -3.81, "cell": [[4.7887, 0.0000, 0.0000], [0.0000, 12.4539, 0.0000], [0.0000, 0.0000, 4.9147]], "species": ["Cs", "Cs", "Si", "Si", "Si", "Si", "Au", "Au", "Au", "Au", "Au", "Au"], "fractional_positions": [[0.2500, 0.2500, 0.1865], [0.7500, 0.7500, 0.8135], [0.2500, 0.5504, 0.3383], [0.2500, 0.9496, 0.3383], [0.7500, 0.0504, 0.6617], [0.7500, 0.4496, 0.6617], [0.2500, 0.0022, 0.8266], [0.2500, 0.4978, 0.8266], [0.2500, 0.7500, 0.3381], [0.7500, 0.2500, 0.6619], [0.7500, 0.5022, 0.1734], [0.7500, 0.9978, 0.1734]]}